(1)
# LiLaSe

A crystal of LiLaSe relaxed with PBEsol (meta-GGA SCAN, Alexandria via LeMat-Bulk).

The uncorrected formation energy is -1.38 eV/atom.

The structure belongs to space group P-6m2 (No. 187); the cell edges are 4.1817, 4.1817 and 4.1960 Å and the angles 90.00°, 90.00° and 120.00°. The distinct sites, in fractional coordinates, are Li at (0.0000, 0.0000, 0.0000), La at (0.6667, 0.3333, 0.5000) and Se at (0.3333, 0.6667, 0.0000).

---

(2)
# Li2LaSe2

A crystal of Li2LaSe2 relaxed with PBEsol (meta-GGA SCAN, Alexandria via LeMat-Bulk).

The uncorrected formation energy is -1.31 eV/atom.

The structure belongs to space group P4/mbm (No. 127); the cell edges are 7.781, 7.781 and 3.722 Å and the angles 90.00°, 90.00° and 90.00°. The distinct sites, in fractional coordinates, are Li at (0.131, 0.369, 0.000), La at (0.000, 0.000, 0.500) and Se at (0.167, 0.667, 0.500).

---

(3)
# LiLa3Se

A crystal of LiLa3Se relaxed with PBEsol (meta-GGA SCAN, Alexandria via LeMat-Bulk).

The uncorrected formation energy is -0.08 eV/atom.

The structure belongs to space group Pm-3m (No. 221); the cell edges are 5.159, 5.159 and 5.159 Å and the angles 90.00°, 90.00° and 90.00°. The distinct sites, in fractional coordinates, are Li at (0.000, 0.000, 0.000), La at (0.000, 0.000, 0.500) and Se at (0.500, 0.500, 0.500).

---

(4)
# Sr2LiLaSe

A crystal of Sr2LiLaSe relaxed with PBEsol (meta-GGA SCAN, Alexandria via LeMat-Bulk).

The uncorrected formation energy is -0.20 eV/atom.

The structure belongs to space group P4/mmm (No. 123); the cell edges are 6.390, 6.390 and 4.366 Å and the angles 90.00°, 90.00° and 90.00°. The distinct sites, in fractional coordinates, are Sr at (0.000, 0.500, 0.000), Li at (0.000, 0.000, 0.000), La at (0.500, 0.500, 0.500) and Se at (0.000, 0.000, 0.500).

---

(5)
# LiLa2Si

A crystal of LiLa2Si relaxed with PBEsol (meta-GGA SCAN, Alexandria via LeMat-Bulk).

The uncorrected formation energy is -0.33 eV/atom.

The structure belongs to space group P4/mmm (No. 123); the cell edges are 3.864, 3.864 and 7.093 Å and the angles 90.00°, 90.00° and 90.00°. The distinct sites, in fractional coordinates, are Li at (0.000, 0.000, 0.000), La at (0.500, 0.500, 0.290) and Si at (0.000, 0.000, 0.500).

---

(6)
# LiLaSi

A crystal of LiLaSi relaxed with PBEsol (meta-GGA SCAN, Alexandria via LeMat-Bulk).

The uncorrected formation energy is -0.39 eV/atom.

The structure belongs to space group F-43m (No. 216); the cell edges are 6.430, 6.430 and 6.430 Å and the angles 90.00°, 90.00° and 90.00°. The distinct sites, in fractional coordinates, are Li at (0.000, 0.000, 0.000), La at (0.250, 0.250, 0.750) and Si at (0.250, 0.250, 0.250).

---

(7)
# LiLaSi

A crystal of LiLaSi relaxed with PBEsol (meta-GGA SCAN, Alexandria via LeMat-Bulk).

The uncorrected formation energy is -0.21 eV/atom.

The structure belongs to space group Imm2 (No. 44); the cell edges are 3.437, 4.516 and 8.557 Å and the angles 90.00°, 90.00° and 90.00°. The distinct sites, in fractional coordinates, are Li at (0.000, 0.000, 0.000), La at (0.000, 0.000, 0.672) and Si at (0.000, 0.000, 0.321).

---

(8)
# LiLa2Si

A crystal of LiLa2Si relaxed with PBEsol (meta-GGA SCAN, Alexandria via LeMat-Bulk).

The uncorrected formation energy is -0.38 eV/atom.

The structure belongs to space group Pm (No. 6); the cell edges are 4.296, 4.324 and 5.972 Å and the angles 90.00°, 110.88° and 90.00°. The distinct sites, in fractional coordinates, are Li at (0.000, 0.000, 0.000), La at (0.409, 0.500, 0.818), La at (0.695, 0.000, 0.394) and Si at (0.123, 0.500, 0.248).

---

| no. | DOS at the Fermi energy (states/eV/cell) | raw total energy (eV per atom) |
| --- | --- | --- |
| 1 | 0.16 | -23.234 |
| 2 | 2.10 | -18.919 |
| 3 | 3.86 | -30.432 |
| 4 | 3.91 | -22.228 |
| 5 | 2.80 | -24.979 |
| 6 | 0.77 | -18.898 |
| 7 | 2.39 | -18.711 |
| 8 | 2.66 | -25.034 |